Density functional theory data (PBE-GGA) for a geometry-optimized BaScO2 structure.

Values from the calculation:
energy relative to the lowest polymorph listed for this composition: 19.8 kJ/mol of atoms
E_form (uncorrected): -2.36 eV per atom
size of the total moment: 0.00 μB/f.u.
V: 22.8 Å³ per atom
E_tot: -27.6 eV for the cell shown
symmetry: R-3m (166)

Structure (POSCAR):
```
BaScO2
1.0
1.990 1.149 6.658
-1.990 1.149 6.658
0.000 -2.297 6.658
Ba Sc O
1 1 2
Direct
0.000 0.000 0.000
0.500 0.500 0.500
0.404 0.404 0.404
0.596 0.596 0.596
```

Density functional theory data (PBE-GGA) for a geometry-optimized Ba3Sc2O6 structure.

Values from the calculation:
E_form (uncorrected): -3.03 eV per atom
size of the total moment: 0.00 μB/f.u.
V: 17.3 Å³ per atom
E_tot: -81.5 eV for the cell shown
symmetry: I4/mmm (139)

Structure (POSCAR):
```
Ba3Sc2O6
1.0
-2.095 2.095 10.833
2.095 -2.095 10.833
2.095 2.095 -10.833
Ba Sc O
3 2 6
Direct
0.000 0.000 0.000
0.181 0.181 0.000
0.819 0.819 0.000
0.397 0.397 0.000
0.603 0.603 0.000
0.086 0.586 0.500
0.306 0.306 0.000
0.414 0.914 0.500
0.586 0.086 0.500
0.694 0.694 0.000
0.914 0.414 0.500
```

Density functional theory data (PBE-GGA) for a geometry-optimized Ba2ScO3 structure.

Values from the calculation:
energy relative to the lowest polymorph listed for this composition: 0.0 kJ/mol of atoms
E_form (uncorrected): -2.59 eV per atom
size of the total moment: 0.00 μB/f.u.
V: 21.1 Å³ per atom
E_tot: -81.2 eV for the cell shown
symmetry: C2/m (12)

Structure (POSCAR):
```
Ba2ScO3
1.0
6.355 -2.960 0.000
6.355 2.960 0.000
-6.235 0.000 6.745
Ba Sc O
4 2 6
Direct
0.003 0.003 0.215
0.292 0.292 0.784
0.708 0.708 0.216
0.997 0.997 0.785
0.390 0.390 0.283
0.610 0.610 0.717
0.187 0.187 0.172
0.260 0.740 0.500
0.480 0.480 0.167
0.520 0.520 0.833
0.740 0.260 0.500
0.813 0.813 0.828
```

Density functional theory data (PBE-GGA) for a geometry-optimized BaScO2 structure.

Values from the calculation:
energy relative to the lowest polymorph listed for this composition: 0.0 kJ/mol of atoms
E_form (uncorrected): -2.57 eV per atom
size of the total moment: 0.90 μB/f.u.
V: 20.1 Å³ per atom
E_tot: -56.9 eV for the cell shown
symmetry: I-42d (122)

Structure (POSCAR):
```
BaScO2
1.0
-2.762 2.762 5.260
2.762 -2.762 5.260
2.762 2.762 -5.260
Ba Sc O
2 2 4
Direct
0.000 0.000 0.000
0.750 0.250 0.500
0.250 0.750 0.500
0.500 0.500 0.000
0.233 0.625 0.108
0.375 0.483 0.608
0.517 0.125 0.892
0.875 0.767 0.392
```

Density functional theory data (PBE-GGA) for a geometry-optimized BaScO2 structure.

Values from the calculation:
energy relative to the lowest polymorph listed for this composition: 1.9 kJ/mol of atoms
E_form (uncorrected): -2.55 eV per atom
size of the total moment: 0.00 μB/f.u.
V: 21.0 Å³ per atom
E_tot: -56.7 eV for the cell shown
symmetry: Cmcm (63)

Structure (POSCAR):
```
BaScO2
1.0
3.133 -4.812 0.000
3.133 4.812 0.000
0.000 0.000 5.567
Ba Sc O
2 2 4
Direct
0.145 0.855 0.750
0.855 0.145 0.250
0.500 0.500 0.000
0.500 0.500 0.500
0.210 0.345 0.750
0.345 0.210 0.250
0.655 0.790 0.750
0.790 0.655 0.250
```

Density functional theory data (PBE-GGA) for a geometry-optimized BaScO2 structure.

Values from the calculation:
energy relative to the lowest polymorph listed for this composition: 73.6 kJ/mol of atoms
E_form (uncorrected): -1.81 eV per atom
size of the total moment: 0.71 μB/f.u.
V: 15.0 Å³ per atom
E_tot: -25.4 eV for the cell shown
symmetry: Fm-3m (225)

Structure (POSCAR):
```
BaScO2
1.0
0.000 3.106 3.106
3.106 0.000 3.106
3.106 3.106 0.000
Ba Sc O
1 1 2
Direct
0.000 0.000 0.000
0.500 0.500 0.500
0.250 0.250 0.250
0.750 0.750 0.750
```

Q: Among the records above, which one has the highest size of the total moment?
A: number 4

Q: Look up the size of the total moment of the fourth one.
A: 0.90 μB/f.u.

What did the sixth record say?
Density functional theory data (PBE-GGA) for a geometry-optimized BaScO2 structure.

Values from the calculation:
energy relative to the lowest polymorph listed for this composition: 73.6 kJ/mol of atoms
E_form (uncorrected): -1.81 eV per atom
size of the total moment: 0.71 μB/f.u.
V: 15.0 Å³ per atom
E_tot: -25.4 eV for the cell shown
symmetry: Fm-3m (225)

Structure (POSCAR):
```
BaScO2
1.0
0.000 3.106 3.106
3.106 0.000 3.106
3.106 3.106 0.000
Ba Sc O
1 1 2
Direct
0.000 0.000 0.000
0.500 0.500 0.500
0.250 0.250 0.250
0.750 0.750 0.750
```

Q: Which of these has the highest E_form (uncorrected)?
A: number 6